{
  "formula": "Rb3Li2CrF9",
  "functional": "PBE with a Hubbard U",
  "state": "relaxed",
  "final_energy_ev_per_cell": -71.70,
  "space_group": "P-3m1",
  "volume_a3_per_atom": 15.9,
  "lattice_angstrom": [[-3.697, -2.159, 4.211], [5.534, 1.788, 1.494], [-2.624, 7.031, 1.302]],
  "species": ["F", "F", "F", "F", "F", "F", "F", "F", "F", "Rb", "Rb", "Rb", "Li", "Li", "Cr"],
  "frac_coords": [[0.853, 0.147, 0.641], [0.000, 0.500, 0.000], [0.705, 0.853, 0.359], [0.853, 0.705, 0.641], [0.500, 0.000, 0.000], [0.147, 0.853, 0.359], [0.147, 0.295, 0.359], [0.295, 0.147, 0.641], [0.500, 0.500, 0.000], [0.333, 0.667, 0.686], [0.667, 0.333, 0.314], [0.000, 0.000, 0.000], [0.667, 0.333, 0.911], [0.333, 0.667, 0.089], [0.000, 0.000, 0.500]]
}